Here is crystalline SmGd2Hg at its relaxed geometry from Alexandria. Energies are from PBE.

Unit cell a=4.8953 b=4.8482 c=4.8482 alpha=90.00 beta=90.00 gamma=90.00
Element x y z (fractional)
Gd (0.0000, 0.0000, 0.5000)
Gd (0.0000, 0.5000, 0.0000)
Hg (0.5000, 0.5000, 0.5000)
Sm (0.5000, 0.0000, 0.0000)

Computed properties:
formation energy from the elements: -0.73 eV per formula unit
Fermi-level density of states: 5.000 states/eV/f.u.
calculated volume: 28.8 A^3/atom
spin magnetization: 3.867 μB/atom

***

Here is crystalline ThTiVSi2 at its relaxed geometry from Alexandria. Energies are from PBE.

Unit cell a=4.0131 b=4.0131 c=6.3840 alpha=108.32 beta=108.32 gamma=90.00
Element x y z (fractional)
Th (0.0000, 0.0000, 0.0000)
Ti (0.2500, 0.7500, 0.5000)
V (0.7500, 0.2500, 0.5000)
Si (0.6094, 0.6094, 0.2188)
Si (0.3906, 0.3906, 0.7812)

Computed properties:
Fermi-level density of states: 3.634 states/eV/f.u.
ΔE_f (raw): -659 meV per atom
calculated volume: 18.4 A^3/atom
spin magnetization: 0.000 μB/atom

***

Here is crystalline Li5Os3 at its relaxed geometry from Alexandria. Energies are from PBE.

Unit cell a=7.9446 b=7.9446 c=4.3965 alpha=90.00 beta=90.00 gamma=120.00
Element x y z (fractional)
Os (0.5641, 0.0000, 0.2500)
Os (0.4359, 0.0000, 0.7500)
Os (0.0000, 0.5641, 0.2500)
Os (0.4359, 0.4359, 0.2500)
Os (0.5641, 0.5641, 0.7500)
Os (0.0000, 0.4359, 0.7500)
Li (0.3333, 0.6667, 0.0000)
Li (0.6667, 0.3333, 0.5000)
Li (0.6667, 0.3333, 0.0000)
Li (0.3333, 0.6667, 0.5000)
Li (0.2293, 0.0000, 0.2500)
Li (0.7707, 0.0000, 0.7500)
Li (0.0000, 0.2293, 0.2500)
Li (0.7707, 0.7707, 0.2500)
Li (0.2293, 0.2293, 0.7500)
Li (0.0000, 0.7707, 0.7500)

Computed properties:
formation energy from the elements: 4.03 eV per formula unit
Fermi-level density of states: 4.650 states/eV/f.u.
calculated volume: 15.0 A^3/atom
spin magnetization: 0.000 μB/atom

***

Question: Which of these has the lowest calculated volume?
Answer: Li5Os3

***

Copy entry 2 word for word.
Here is crystalline ThTiVSi2 at its relaxed geometry from Alexandria. Energies are from PBE.

Unit cell a=4.0131 b=4.0131 c=6.3840 alpha=108.32 beta=108.32 gamma=90.00
Element x y z (fractional)
Th (0.0000, 0.0000, 0.0000)
Ti (0.2500, 0.7500, 0.5000)
V (0.7500, 0.2500, 0.5000)
Si (0.6094, 0.6094, 0.2188)
Si (0.3906, 0.3906, 0.7812)

Computed properties:
Fermi-level density of states: 3.634 states/eV/f.u.
ΔE_f (raw): -659 meV per atom
calculated volume: 18.4 A^3/atom
spin magnetization: 0.000 μB/atom